Material: La8Tb2Pr
Method: DFT, GGA-PBE
State: optimized geometry

CIF file:
```
data_La8Tb2Pr
_chemical_formula_sum 'La16 Tb4 Pr2'
_symmetry_space_group_name_H-M 'C 1 2/m 1'
_symmetry_Int_Tables_number 12
_symmetry_space_group_name_Hall '-C 2y'
_cell_length_a 19.700
_cell_length_b 7.212
_cell_length_c 5.815
_cell_angle_alpha 90.00
_cell_angle_beta 93.11
_cell_angle_gamma 90.00
loop_
_atom_site_label
_atom_site_fract_x
_atom_site_fract_y
_atom_site_fract_z
La1 0.044 0.000 0.238
La2 0.132 0.227 0.734
La3 0.186 0.500 0.236
Tb1 0.216 0.000 0.255
Pr1 0.000 0.500 0.000
```

Raw total energy (eV per atom): -4.726
E above lowest polymorph (meV/atom): 2.6
Size of the total moment (μB/atom): 0.000
Formation energy (eV/atom): 0.134